Computed, not measured: a geometry-optimized ScSi2Ir structure at the PBE level of DFT.

Cell lengths 8.9208, 8.9208, 8.9208 Å; angles 153.02, 153.02, 38.52 degrees
Closest atoms and distances in Å follow each position.
Sites, in units of the cell vectors:
Sc: 0.0000 0.0000 0.0000  4 Si 2.77, 4 Ir 2.94
Sc: 0.7500 0.2500 0.5000  4 Si 2.77, 4 Ir 2.94
Si: 0.2278 0.6250 0.1028  2 Si 2.41, 2 Ir 2.43
Si: 0.3750 0.4778 0.6028  2 Si 2.41, 2 Ir 2.43
Si: 0.5222 0.1250 0.8972  2 Si 2.41, 2 Ir 2.43
Si: 0.8750 0.7722 0.3972  2 Si 2.41, 2 Ir 2.43
Ir: 0.2500 0.7500 0.5000  4 Si 2.43
Ir: 0.5000 0.5000 0.0000  4 Si 2.43

DFT total energy (eV per atom): -6.836
Magnetization (μB per formula unit): 0.00
Energy relative to the elements, uncorrected (eV per atom): -0.33
Space group: No. 122